No. 1
{"formula": "HoPu2Ge2", "functional": "PBE-GGA", "state": "relaxed", "cell": [[5.9350, 0.0000, 0.0000], [0.0000, 3.1068, 0.0000], [-0.0768, 0.0000, 12.5898]], "species": ["Ho", "Ho", "Pu", "Pu", "Pu", "Pu", "Ge", "Ge", "Ge", "Ge"], "frac_coords": [[0.1193, 0.2500, 0.3747], [0.8807, 0.7500, 0.6253], [0.3706, 0.7500, 0.5882], [0.3726, 0.2500, 0.7899], [0.6274, 0.7500, 0.2101], [0.6294, 0.2500, 0.4118], [0.1222, 0.2500, 0.1483], [0.2928, 0.7500, 0.9958], [0.7072, 0.2500, 0.0042], [0.8778, 0.7500, 0.8517]], "volume_a3_per_atom": 23.2, "ef_ev_per_atom": 0.114, "e_tot_ev_per_atom": -8.38, "sg": "P2_1/m"}

***

No. 2
{"formula": "HoPu2Ge", "functional": "PBE-GGA", "state": "relaxed", "cell": [[4.3795, 0.0000, 0.0000], [0.0000, 4.3795, 0.0000], [0.0000, 0.0000, 4.9708]], "species": ["Ho", "Pu", "Pu", "Ge"], "frac_coords": [[0.0000, 0.0000, 0.0000], [0.0000, 0.5000, 0.5000], [0.5000, 0.0000, 0.5000], [0.5000, 0.5000, 0.0000]], "volume_a3_per_atom": 23.8, "ef_ev_per_atom": -0.288, "e_tot_ev_per_atom": -9.75, "sg": "P4/mmm", "relative_energy_ev_per_atom": 0.000}

***

No. 3
{"formula": "Ho2PuGe", "functional": "PBE-GGA", "state": "relaxed", "cell": [[4.7052, 0.0000, 0.0000], [0.0000, 4.7052, 0.0000], [0.0000, 0.0000, 4.4413]], "species": ["Ho", "Ho", "Pu", "Ge"], "frac_coords": [[0.0000, 0.5000, 0.0000], [0.5000, 0.0000, 0.0000], [0.0000, 0.0000, 0.5000], [0.5000, 0.5000, 0.5000]], "volume_a3_per_atom": 24.6, "ef_ev_per_atom": -0.252, "e_tot_ev_per_atom": -7.28, "sg": "P4/mmm", "relative_energy_ev_per_atom": 0.000}

***

No. 4
{"formula": "Ho2PuGe", "functional": "PBE-GGA", "state": "relaxed", "cell": [[1.7814, 1.0285, 9.9577], [-1.7814, 1.0285, 9.9577], [0.0000, -2.0570, 9.9577]], "species": ["Ho", "Ho", "Pu", "Ge"], "frac_coords": [[0.2367, 0.2367, 0.2367], [0.7633, 0.7633, 0.7633], [0.0000, 0.0000, 0.0000], [0.5000, 0.5000, 0.5000]], "volume_a3_per_atom": 27.4, "ef_ev_per_atom": -0.141, "e_tot_ev_per_atom": -7.17, "sg": "R-3m", "relative_energy_ev_per_atom": 0.111}

***

No. 5
{"formula": "Ho5Pu2Ge4", "functional": "PBE-GGA", "state": "relaxed", "cell": [[9.7779, -2.2758, 0.0000], [9.7779, 2.2758, 0.0000], [-0.8687, 0.0000, 6.4035]], "species": ["Ho", "Ho", "Ho", "Ho", "Ho", "Pu", "Pu", "Ge", "Ge", "Ge", "Ge"], "frac_coords": [[0.0000, 0.0000, 0.0000], [0.0883, 0.0883, 0.5110], [0.2593, 0.2593, 0.3030], [0.7407, 0.7407, 0.6970], [0.9117, 0.9117, 0.4890], [0.3724, 0.3724, 0.9148], [0.6276, 0.6276, 0.0852], [0.1829, 0.1829, 0.8830], [0.4964, 0.4964, 0.2954], [0.5036, 0.5036, 0.7046], [0.8171, 0.8171, 0.1170]], "volume_a3_per_atom": 25.9, "ef_ev_per_atom": -0.419, "e_tot_ev_per_atom": -6.78, "sg": "C2/m"}

***

No. 6
{"formula": "HoPuGe", "functional": "PBE-GGA", "state": "relaxed", "cell": [[1.9204, -10.2529, 0.0000], [1.9204, 10.2529, 0.0000], [0.0000, 0.0000, 3.4621]], "species": ["Ho", "Ho", "Pu", "Pu", "Ge", "Ge"], "frac_coords": [[0.1910, 0.8090, 0.7500], [0.8090, 0.1910, 0.2500], [0.0372, 0.9628, 0.7500], [0.9628, 0.0372, 0.2500], [0.3868, 0.6132, 0.7500], [0.6132, 0.3868, 0.2500]], "volume_a3_per_atom": 22.7, "ef_ev_per_atom": -0.191, "e_tot_ev_per_atom": -8.03, "sg": "Cmcm", "relative_energy_ev_per_atom": 0.361}

***

No. 7
{"formula": "Ho2PuGe2Rh5", "functional": "PBE-GGA", "state": "relaxed", "cell": [[9.8618, 0.0000, 0.0000], [0.0000, 9.8618, 0.0000], [0.0000, 0.0000, 3.7077]], "species": ["Ho", "Ho", "Ho", "Ho", "Pu", "Pu", "Ge", "Ge", "Ge", "Ge", "Rh", "Rh", "Rh", "Rh", "Rh", "Rh", "Rh", "Rh", "Rh", "Rh"], "frac_coords": [[0.1716, 0.3284, 0.0000], [0.3284, 0.8284, 0.0000], [0.6716, 0.1716, 0.0000], [0.8284, 0.6716, 0.0000], [0.0000, 0.0000, 0.0000], [0.5000, 0.5000, 0.0000], [0.1249, 0.6249, 0.0000], [0.3751, 0.1249, 0.0000], [0.6249, 0.8751, 0.0000], [0.8751, 0.3751, 0.0000], [0.0000, 0.5000, 0.5000], [0.0690, 0.7872, 0.5000], [0.2128, 0.0690, 0.5000], [0.2872, 0.5690, 0.5000], [0.4310, 0.2872, 0.5000], [0.5000, 0.0000, 0.5000], [0.5690, 0.7128, 0.5000], [0.7128, 0.4310, 0.5000], [0.7872, 0.9310, 0.5000], [0.9310, 0.2128, 0.5000]], "volume_a3_per_atom": 18.0, "ef_ev_per_atom": -0.765, "e_tot_ev_per_atom": -7.71, "sg": "P4/mbm"}

***

No. 8
{"formula": "HoPuGeRu", "functional": "PBE-GGA", "state": "relaxed", "cell": [[0.0000, 3.4754, 3.4754], [3.4754, 0.0000, 3.4754], [3.4754, 3.4754, 0.0000]], "species": ["Ho", "Pu", "Ge", "Ru"], "frac_coords": [[0.0000, 0.0000, 0.0000], [0.5000, 0.5000, 0.5000], [0.2500, 0.2500, 0.2500], [0.7500, 0.7500, 0.7500]], "volume_a3_per_atom": 21.0, "ef_ev_per_atom": -0.294, "e_tot_ev_per_atom": -8.49, "sg": "F-43m"}

***

No. 9
{"formula": "HoPuTlGe", "functional": "PBE-GGA", "state": "relaxed", "cell": [[0.0000, 3.6917, 3.6917], [3.6917, 0.0000, 3.6917], [3.6917, 3.6917, 0.0000]], "species": ["Ho", "Pu", "Tl", "Ge"], "frac_coords": [[0.0000, 0.0000, 0.0000], [0.5000, 0.5000, 0.5000], [0.7500, 0.7500, 0.7500], [0.2500, 0.2500, 0.2500]], "volume_a3_per_atom": 25.2, "ef_ev_per_atom": -0.272, "e_tot_ev_per_atom": -6.75, "sg": "F-43m"}

***

No. 10
{"formula": "HoPuZnGe", "functional": "PBE-GGA", "state": "relaxed", "cell": [[0.0000, 3.5538, 3.5538], [3.5538, 0.0000, 3.5538], [3.5538, 3.5538, 0.0000]], "species": ["Ho", "Pu", "Zn", "Ge"], "frac_coords": [[0.0000, 0.0000, 0.0000], [0.5000, 0.5000, 0.5000], [0.7500, 0.7500, 0.7500], [0.2500, 0.2500, 0.2500]], "volume_a3_per_atom": 22.4, "ef_ev_per_atom": -0.379, "e_tot_ev_per_atom": -6.58, "sg": "F-43m"}

***

No. 11
{"formula": "RbHoGeSe4", "functional": "PBE-GGA", "state": "relaxed", "cell": [[6.7509, 0.0000, 0.0000], [0.0000, 7.0785, 0.0000], [-2.9541, 0.0000, 9.0230]], "species": ["Rb", "Rb", "Ho", "Ho", "Ge", "Ge", "Se", "Se", "Se", "Se", "Se", "Se", "Se", "Se"], "frac_coords": [[0.2489, 0.2500, 0.0582], [0.7511, 0.7500, 0.9418], [0.2254, 0.2500, 0.5501], [0.7746, 0.7500, 0.4499], [0.2242, 0.7500, 0.3352], [0.7758, 0.2500, 0.6648], [0.0150, 0.5085, 0.7017], [0.0150, 0.9915, 0.7017], [0.4283, 0.7500, 0.1748], [0.4459, 0.7500, 0.5818], [0.5541, 0.2500, 0.4182], [0.5717, 0.2500, 0.8252], [0.9850, 0.0085, 0.2983], [0.9850, 0.4915, 0.2983]], "formation_energy_uncorrected_ev_per_atom": -1.115, "volume_a3_per_atom": 30.8, "e_tot_ev_per_atom": -4.56, "sg": "P2_1/m"}

***

No. 12
{"formula": "Rb2HoGeTe4", "functional": "PBE-GGA", "state": "relaxed", "cell": [[-4.5280, 4.8924, 6.6594], [4.5280, -4.8924, 6.6594], [4.5280, 4.8924, -6.6594]], "species": ["Rb", "Rb", "Rb", "Rb", "Ho", "Ho", "Ge", "Ge", "Te", "Te", "Te", "Te", "Te", "Te", "Te", "Te"], "frac_coords": [[0.0000, 0.0000, 0.0000], [0.5000, 0.0000, 0.0000], [0.5000, 0.0000, 0.5000], [0.5000, 0.5000, 0.5000], [0.0000, 0.0000, 0.5000], [0.0000, 0.5000, 0.0000], [0.0000, 0.5000, 0.5000], [0.5000, 0.5000, 0.0000], [0.1961, 0.7309, 0.4653], [0.2303, 0.2742, 0.5439], [0.2303, 0.6864, 0.9561], [0.2344, 0.2691, 0.9653], [0.7656, 0.7309, 0.0347], [0.7697, 0.3136, 0.0439], [0.7697, 0.7258, 0.4561], [0.8039, 0.2691, 0.5347]], "formation_energy_uncorrected_ev_per_atom": -0.796, "volume_a3_per_atom": 36.9, "e_tot_ev_per_atom": -3.76, "sg": "Imma"}

***

No. 13
{"formula": "RbHoGeTe3", "functional": "PBE-GGA", "state": "relaxed", "cell": [[9.4925, 0.0000, 0.0000], [0.0000, 4.3067, 0.0000], [-4.3626, 0.0000, 11.1312]], "species": ["Rb", "Rb", "Ho", "Ho", "Ge", "Ge", "Te", "Te", "Te", "Te", "Te", "Te"], "frac_coords": [[0.2320, 0.2500, 0.2792], [0.7680, 0.7500, 0.7208], [0.3665, 0.7500, 0.8419], [0.6335, 0.2500, 0.1581], [0.1176, 0.2500, 0.5536], [0.8824, 0.7500, 0.4464], [0.1146, 0.2500, 0.7788], [0.3243, 0.7500, 0.5713], [0.3897, 0.7500, 0.1035], [0.6103, 0.2500, 0.8965], [0.6757, 0.2500, 0.4287], [0.8854, 0.7500, 0.2212]], "formation_energy_uncorrected_ev_per_atom": -0.943, "volume_a3_per_atom": 37.9, "e_tot_ev_per_atom": -4.21, "sg": "P2_1/m"}

***

No. 14
{"formula": "HoReGe2", "functional": "PBE-GGA", "state": "relaxed", "cell": [[2.3334, 1.3472, 3.7130], [-2.3334, 1.3472, 3.7130], [0.0000, -2.6944, 3.7130]], "species": ["Ho", "Re", "Ge", "Ge"], "frac_coords": [[0.0000, 0.0000, 0.0000], [0.5000, 0.5000, 0.5000], [0.2525, 0.2525, 0.2525], [0.7475, 0.7475, 0.7475]], "volume_a3_per_atom": 17.5, "ef_ev_per_atom": -0.147, "e_tot_ev_per_atom": -6.71, "sg": "R-3m"}

***

No. 15
{"formula": "Ho4ReGe8", "functional": "PBE-GGA", "state": "relaxed", "cell": [[4.0377, 0.0000, 0.0000], [0.0000, 4.2019, 0.0000], [0.0000, 0.0000, 15.9214]], "species": ["Ho", "Ho", "Ho", "Ho", "Re", "Ge", "Ge", "Ge", "Ge", "Ge", "Ge", "Ge", "Ge"], "frac_coords": [[0.0000, 0.0000, 0.0000], [0.0000, 0.5000, 0.4810], [0.5000, 0.0000, 0.7939], [0.5000, 0.5000, 0.2843], [0.0000, 0.5000, 0.6994], [0.0000, 0.0000, 0.3275], [0.0000, 0.0000, 0.6174], [0.0000, 0.5000, 0.1392], [0.0000, 0.5000, 0.8550], [0.5000, 0.0000, 0.1448], [0.5000, 0.0000, 0.4386], [0.5000, 0.5000, 0.6139], [0.5000, 0.5000, 0.9612]], "volume_a3_per_atom": 20.8, "ef_ev_per_atom": -0.486, "e_tot_ev_per_atom": -5.69, "sg": "Pmm2"}

***

No. 16
{"formula": "Ho3Ge3Rh", "functional": "PBE-GGA", "state": "relaxed", "cell": [[5.2949, -2.1318, 0.0000], [5.2949, 2.1318, 0.0000], [-4.7016, 0.0000, 13.0686]], "species": ["Ho", "Ho", "Ho", "Ho", "Ho", "Ho", "Ge", "Ge", "Ge", "Ge", "Ge", "Ge", "Rh", "Rh"], "frac_coords": [[0.0282, 0.0282, 0.3790], [0.1017, 0.1017, 0.9221], [0.2418, 0.2418, 0.2316], [0.7582, 0.7582, 0.7684], [0.8983, 0.8983, 0.0779], [0.9718, 0.9718, 0.6210], [0.3654, 0.3654, 0.4587], [0.3789, 0.3789, 0.9252], [0.4674, 0.4674, 0.7672], [0.5326, 0.5326, 0.2328], [0.6211, 0.6211, 0.0748], [0.6346, 0.6346, 0.5413], [0.2539, 0.2539, 0.6049], [0.7461, 0.7461, 0.3951]], "volume_a3_per_atom": 21.1, "ef_ev_per_atom": -0.920, "e_tot_ev_per_atom": -5.91, "sg": "C2/m", "relative_energy_ev_per_atom": 0.000}

***

No. 17
{"formula": "Ho4Ge3Rh", "functional": "PBE-GGA", "state": "relaxed", "cell": [[4.0081, 0.0000, 0.0000], [0.0000, 4.1543, 0.0000], [0.0000, 0.0000, 10.7153]], "species": ["Ho", "Ho", "Ho", "Ho", "Ge", "Ge", "Ge", "Rh"], "frac_coords": [[0.0000, 0.0000, 0.0000], [0.0000, 0.5000, 0.4875], [0.5000, 0.0000, 0.7119], [0.5000, 0.5000, 0.2171], [0.0000, 0.5000, 0.7679], [0.5000, 0.0000, 0.4347], [0.5000, 0.5000, 0.9333], [0.0000, 0.0000, 0.2713]], "volume_a3_per_atom": 22.3, "ef_ev_per_atom": -0.854, "e_tot_ev_per_atom": -5.79, "sg": "Pmm2"}

***

No. 18
{"formula": "Ho2Ge3Rh5", "functional": "PBE-GGA", "state": "relaxed", "cell": [[2.0606, -12.2641, 0.0000], [2.0606, 12.2641, 0.0000], [0.0000, 0.0000, 6.6586]], "species": ["Ho", "Ho", "Ho", "Ho", "Ge", "Ge", "Ge", "Ge", "Ge", "Ge", "Rh", "Rh", "Rh", "Rh", "Rh", "Rh", "Rh", "Rh", "Rh", "Rh"], "frac_coords": [[0.0189, 0.9811, 0.5000], [0.3255, 0.6745, 0.5090], [0.6745, 0.3255, 0.0090], [0.9811, 0.0189, 0.0000], [0.1116, 0.8884, 0.2514], [0.2708, 0.7292, 0.0196], [0.4528, 0.5472, 0.2871], [0.5472, 0.4528, 0.7871], [0.7292, 0.2708, 0.5196], [0.8884, 0.1116, 0.7514], [0.0999, 0.9001, 0.8522], [0.2070, 0.7930, 0.7291], [0.2094, 0.7906, 0.3150], [0.3715, 0.6285, 0.0304], [0.4433, 0.5567, 0.6618], [0.5567, 0.4433, 0.1618], [0.6285, 0.3715, 0.5304], [0.7906, 0.2094, 0.8150], [0.7930, 0.2070, 0.2291], [0.9001, 0.0999, 0.3522]], "volume_a3_per_atom": 16.8, "ef_ev_per_atom": -0.792, "e_tot_ev_per_atom": -6.77, "sg": "Cmc2_1"}

***

No. 19
{"formula": "HoGe2Rh5", "functional": "PBE-GGA", "state": "relaxed", "cell": [[-1.9121, 3.4692, 4.9899], [1.9121, -3.4692, 4.9899], [1.9121, 3.4692, -4.9899]], "species": ["Ho", "Ge", "Ge", "Rh", "Rh", "Rh", "Rh", "Rh"], "frac_coords": [[0.0000, 0.0000, 0.0000], [0.2565, 0.7565, 0.5000], [0.7435, 0.2435, 0.5000], [0.1601, 0.3605, 0.7997], [0.4392, 0.6395, 0.7997], [0.5000, 0.0000, 0.5000], [0.5608, 0.3605, 0.2003], [0.8398, 0.6395, 0.2003]], "volume_a3_per_atom": 16.5, "ef_ev_per_atom": -0.570, "e_tot_ev_per_atom": -6.89, "sg": "Immm"}

***

No. 20
{"formula": "Ho2Ge2Rh", "functional": "PBE-GGA", "state": "relaxed", "cell": [[4.2886, 0.0000, 0.0000], [2.1419, 5.2382, 0.0000], [2.1402, -0.5790, 9.1419]], "species": ["Ho", "Ho", "Ho", "Ho", "Ge", "Ge", "Ge", "Ge", "Rh", "Rh"], "frac_coords": [[0.0719, 0.2401, 0.1160], [0.3226, 0.1855, 0.6698], [0.6774, 0.8145, 0.3302], [0.9281, 0.7599, 0.8840], [0.0849, 0.7702, 0.5582], [0.3619, 0.6597, 0.1160], [0.6381, 0.3403, 0.8840], [0.9151, 0.2298, 0.4418], [0.3857, 0.3889, 0.3419], [0.6143, 0.6111, 0.6581]], "volume_a3_per_atom": 20.5, "ef_ev_per_atom": -0.947, "e_tot_ev_per_atom": -6.10, "sg": "P-1"}